1.
PmGe2Rh: optimized geometry, PBE-GGA.

Properties
symmetry: Fm-3m
crystal system: cubic
relative energy among the computed polymorphs: 409.5 meV per atom
energy: -23.09 eV/f.u.
energy relative to the elements: -0.44 eV/atom

extended XYZ file:
```
4
Lattice="4.7529 0.0000 0.0000 2.3765 4.1162 0.0000 2.3765 1.3721 3.8808" Properties=species:S:1:pos:R:3 pbc="T T T"
Ge 7.1294 4.1162 2.9106
Rh 0.0000 0.0000 0.0000
Pm 4.7529 2.7441 1.9404
Ge 2.3765 1.3721 0.9702
```

***

2.
MnRe2B: optimized geometry, PBE-GGA.

Properties
symmetry: C2/m
crystal system: monoclinic
energy: -41.08 eV/f.u.
energy relative to the elements: -0.09 eV/atom

extended XYZ file:
```
8
Lattice="-2.5784 -0.3432 1.0796 3.0966 -3.3265 2.6646 1.1626 4.8149 4.3073" Properties=species:S:1:pos:R:3 pbc="T T T"
Re 1.2774 0.0089 6.7269
Re 0.0083 -0.4934 3.5364
Re 1.6724 1.6385 4.5151
Mn 0.3491 3.5886 5.6480
Re 0.4034 1.1362 1.3246
B -0.3372 1.7552 3.4260
Mn 1.3316 -2.4434 2.4035
B 2.0179 -0.6101 4.6255
```

***

3.
AcMnC: optimized geometry, PBE-GGA.

Properties
symmetry: I4mm
crystal system: tetragonal
relative energy among the computed polymorphs: 972.1 meV per atom
energy: -19.66 eV/f.u.
energy relative to the elements: 0.95 eV/atom

extended XYZ file:
```
3
Lattice="3.0218 0.0000 0.0000 0.0000 3.0218 0.0000 -1.5109 -1.5109 5.0128" Properties=species:S:1:pos:R:3 pbc="T T T"
Ac 0.0000 0.0000 0.0824
Mn 0.0000 0.0000 2.7653
C 1.5109 1.5109 2.1651
```

***

Number 1: mass density 8.60 Mg/m³. Number 2: mass density 15.51 Mg/m³. Number 3: mass density 10.66 Mg/m³.